# MgIn4Pb7 (PBE-GGA, optimized geometry)
data_MgIn4Pb7
_chemical_formula_sum 'Mg1 In4 Pb7'
_cell_length_a 5.836
_cell_length_b 9.814
_cell_length_c 7.589
_cell_angle_alpha 78.75
_cell_angle_beta 67.38
_cell_angle_gamma 72.70
_space_group_name_H-M_alt 'P 1'
_space_group_IT_number 1
loop_
_space_group_symop_operation_xyz
'x,y,z'
loop_
_atom_site_label
_atom_site_type_symbol
_atom_site_fract_x
_atom_site_fract_y
_atom_site_fract_z
_atom_site_occupancy
Pb1 Pb 0.352 0.556 0.740 1
Pb2 Pb 0.500 0.000 0.000 1
Pb3 Pb 0.204 0.095 0.496 1
Pb4 Pb 0.796 0.905 0.504 1
Pb5 Pb 0.918 0.336 0.828 1
Pb6 Pb 0.082 0.664 0.172 1
Pb7 Pb 0.648 0.444 0.260 1
In1 In 0.433 0.769 0.365 1
In2 In 0.725 0.679 0.871 1
In3 In 0.275 0.321 0.129 1
In4 In 0.567 0.231 0.635 1
Mg1 Mg 0.000 0.000 0.000 1
# space-group type: C2/m, No. 12
# magnetic moment: 0.00 μB per cell
# DFT formation energy: 111 meV/atom
# DOS at the Fermi energy: 5.85 states/eV/cell



# Mg12In7Pb (PBE-GGA, optimized geometry)
data_Mg12In7Pb
_chemical_formula_sum 'Mg12 In7 Pb1'
_cell_length_a 9.208
_cell_length_b 9.208
_cell_length_c 9.208
_cell_angle_alpha 109.47
_cell_angle_beta 109.47
_cell_angle_gamma 109.47
_space_group_name_H-M_alt 'P 1'
_space_group_IT_number 1
loop_
_space_group_symop_operation_xyz
'x,y,z'
loop_
_atom_site_label
_atom_site_type_symbol
_atom_site_fract_x
_atom_site_fract_y
_atom_site_fract_z
_atom_site_occupancy
Mg1 Mg 0.846 0.589 0.744 1
Mg2 Mg 0.256 0.154 0.411 1
Mg3 Mg 0.744 0.846 0.589 1
Mg4 Mg 0.154 0.898 0.744 1
Mg5 Mg 0.589 0.744 0.846 1
Mg6 Mg 0.256 0.846 0.102 1
Mg7 Mg 0.411 0.256 0.154 1
Mg8 Mg 0.154 0.411 0.256 1
Mg9 Mg 0.898 0.744 0.154 1
Mg10 Mg 0.102 0.256 0.846 1
Mg11 Mg 0.846 0.102 0.256 1
Mg12 Mg 0.744 0.154 0.898 1
In1 In 0.000 0.500 0.500 1
In2 In 0.500 0.500 0.500 1
In3 In 0.500 0.500 0.000 1
In4 In 0.000 0.500 0.000 1
In5 In 0.500 0.000 0.000 1
In6 In 0.000 0.000 0.500 1
In7 In 0.500 0.000 0.500 1
Pb1 Pb 0.000 0.000 0.000 1
# space-group type: Im-3, No. 204
# magnetic moment: 0.00 μB per cell
# DFT formation energy: 186 meV/atom
# DOS at the Fermi energy: 10.45 states/eV/cell



# Mg3In7Pb2 (PBE-GGA, optimized geometry)
data_Mg3In7Pb2
_chemical_formula_sum 'Mg3 In7 Pb2'
_cell_length_a 3.288
_cell_length_b 5.266
_cell_length_c 20.634
_cell_angle_alpha 113.90
_cell_angle_beta 90.00
_cell_angle_gamma 90.00
_space_group_name_H-M_alt 'P 1'
_space_group_IT_number 1
loop_
_space_group_symop_operation_xyz
'x,y,z'
loop_
_atom_site_label
_atom_site_type_symbol
_atom_site_fract_x
_atom_site_fract_y
_atom_site_fract_z
_atom_site_occupancy
In1 In 0.500 0.596 0.406 1
In2 In 0.500 0.768 0.812 1
In3 In 0.000 0.643 0.136 1
In4 In 0.000 0.357 0.864 1
In5 In 0.000 0.000 0.000 1
In6 In 0.500 0.404 0.594 1
In7 In 0.500 0.232 0.188 1
Mg1 Mg 0.000 0.168 0.450 1
Mg2 Mg 0.500 0.500 0.000 1
Mg3 Mg 0.000 0.832 0.550 1
Pb1 Pb 0.500 0.924 0.301 1
Pb2 Pb 0.500 0.076 0.699 1
# space-group type: P2/m, No. 10
# magnetic moment: 0.00 μB per cell
# DFT formation energy: 10 meV/atom
# DOS at the Fermi energy: 3.97 states/eV/cell



# Mg2InPb3 (PBE-GGA, optimized geometry)
data_Mg2InPb3
_chemical_formula_sum 'Mg2 In1 Pb3'
_cell_length_a 3.542
_cell_length_b 3.542
_cell_length_c 13.064
_cell_angle_alpha 90.00
_cell_angle_beta 90.00
_cell_angle_gamma 90.00
_space_group_name_H-M_alt 'P 1'
_space_group_IT_number 1
loop_
_space_group_symop_operation_xyz
'x,y,z'
loop_
_atom_site_label
_atom_site_type_symbol
_atom_site_fract_x
_atom_site_fract_y
_atom_site_fract_z
_atom_site_occupancy
Mg1 Mg 0.500 0.500 0.842 1
Mg2 Mg 0.500 0.500 0.158 1
Pb1 Pb 0.000 0.000 0.683 1
Pb2 Pb 0.000 0.000 0.000 1
Pb3 Pb 0.000 0.000 0.317 1
In1 In 0.500 0.500 0.500 1
# space-group type: P4/mmm, No. 123
# magnetic moment: 0.00 μB per cell
# DFT formation energy: -36 meV/atom
# DOS at the Fermi energy: 2.36 states/eV/cell
# E above lowest polymorph: 0 meV per atom



Which value of magnetic moment does entry 2 give?
0.00 μB per cell